Computed, not measured: a relaxed structure of CsV2BiO8 at the GGA+U level of DFT.

Cell lengths 5.470, 5.470, 8.853 Å; angles 90.00, 90.00, 120.00 degrees
Sites, in units of the cell vectors:
Cs 0.000 0.000 0.000
V 0.333 0.667 0.704
V 0.667 0.333 0.296
Bi 0.000 0.000 0.500
O 0.051 0.332 0.646
O 0.281 0.949 0.646
O 0.332 0.281 0.354
O 0.333 0.667 0.890
O 0.667 0.333 0.110
O 0.668 0.719 0.646
O 0.719 0.051 0.354
O 0.949 0.668 0.354

Calculated values
* E: -6.5276 eV per atom
* calculated density: 4.1 g/cm3
* total magnetic moment: 0.000 μB/f.u.
* crystal system: trigonal